(1)
{
  "formula": "LiTiIn",
  "functional": "PBE",
  "state": "relaxed",
  "lattice": [[-1.574, 0.364, 4.651], [1.442, -3.087, 3.336], [3.596, 3.548, 3.546]],
  "species": ["Li", "Li", "In", "In", "Ti", "Ti"],
  "frac_coords": [[0.250, 0.500, 0.500], [0.750, 0.500, 0.500], [0.626, 0.000, 0.748], [0.374, 0.000, 0.252], [0.171, 0.658, 0.000], [0.829, 0.342, 0.000]],
  "e_above_lowest_polymorph_ev_per_atom": 0.215,
  "delta_e_f_kj_per_mol_atoms": 4.0
}


(2)
{
  "formula": "Li5Ca2MgGa2",
  "functional": "PBE",
  "state": "relaxed",
  "lattice": [[-3.593, 0.428, 2.871], [4.452, -6.072, 6.478], [4.375, 7.807, 4.310]],
  "species": ["Li", "Li", "Li", "Li", "Li", "Li", "Li", "Li", "Li", "Li", "Mg", "Mg", "Ca", "Ca", "Ca", "Ca", "Ga", "Ga", "Ga", "Ga"],
  "frac_coords": [[0.500, 0.278, 0.560], [0.500, 0.222, 0.060], [0.500, 0.560, 0.722], [0.500, 0.940, 0.222], [0.500, 0.778, 0.940], [0.500, 0.722, 0.440], [0.500, 0.500, 0.000], [0.500, 0.060, 0.778], [0.500, 0.440, 0.278], [0.500, 0.000, 0.500], [0.000, 0.000, 0.000], [0.000, 0.500, 0.500], [0.000, 0.309, 0.809], [0.000, 0.809, 0.691], [0.000, 0.691, 0.191], [0.000, 0.191, 0.309], [0.000, 0.100, 0.600], [0.000, 0.900, 0.400], [0.000, 0.400, 0.100], [0.000, 0.600, 0.900]],
  "delta_e_f_kj_per_mol_atoms": -16.1
}


(3)
{
  "formula": "K3Rb2Hg2",
  "functional": "PBE",
  "state": "relaxed",
  "lattice": [[5.161, 0.000, 0.000], [-2.581, 7.299, -0.324], [0.000, -3.776, 10.181]],
  "species": ["Hg", "Hg", "K", "K", "K", "Rb", "Rb"],
  "frac_coords": [[0.162, 0.325, 0.221], [0.838, 0.675, 0.779], [0.500, 0.000, 0.000], [0.374, 0.747, 0.561], [0.626, 0.253, 0.439], [0.154, 0.308, 0.810], [0.846, 0.692, 0.190]],
  "delta_e_f_kj_per_mol_atoms": -14.0
}


(4)
{
  "formula": "NpIn3O6F2",
  "functional": "PBE",
  "state": "relaxed",
  "lattice": [[4.689, 0.000, 0.468], [0.000, 6.488, 0.000], [-0.065, -3.244, 5.682]],
  "species": ["In", "In", "In", "Np", "O", "O", "O", "O", "O", "O", "F", "F"],
  "frac_coords": [[0.500, 0.000, 0.500], [0.000, 0.500, 0.000], [0.500, 0.500, 0.500], [0.500, 0.000, 0.000], [0.287, 0.174, 0.348], [0.735, 0.826, 0.154], [0.265, 0.672, 0.846], [0.265, 0.174, 0.846], [0.735, 0.328, 0.154], [0.713, 0.826, 0.652], [0.239, 0.671, 0.343], [0.761, 0.329, 0.657]],
  "formation_energy_uncorrected_ev_per_atom": -2.035
}


(5)
{
  "formula": "Sc3Ge3Ir2",
  "functional": "PBE",
  "state": "relaxed",
  "lattice": [[5.360, 0.000, 0.000], [0.000, 8.008, 0.000], [0.000, 0.000, 13.676]],
  "species": ["Ir", "Ir", "Ir", "Ir", "Ir", "Ir", "Ir", "Ir", "Ge", "Ge", "Ge", "Ge", "Ge", "Ge", "Ge", "Ge", "Ge", "Ge", "Ge", "Ge", "Sc", "Sc", "Sc", "Sc", "Sc", "Sc", "Sc", "Sc", "Sc", "Sc", "Sc", "Sc"],
  "frac_coords": [[0.610, 0.568, 0.401], [0.610, 0.568, 0.099], [0.390, 0.432, 0.901], [0.110, 0.932, 0.901], [0.390, 0.432, 0.599], [0.890, 0.068, 0.401], [0.890, 0.068, 0.099], [0.110, 0.932, 0.599], [0.389, 0.715, 0.540], [0.389, 0.715, 0.960], [0.611, 0.285, 0.460], [0.889, 0.785, 0.460], [0.376, 0.666, 0.250], [0.876, 0.834, 0.750], [0.624, 0.334, 0.750], [0.611, 0.285, 0.040], [0.111, 0.215, 0.960], [0.124, 0.166, 0.250], [0.889, 0.785, 0.040], [0.111, 0.215, 0.540], [0.637, 0.306, 0.250], [0.891, 0.546, 0.884], [0.609, 0.046, 0.616], [0.609, 0.046, 0.884], [0.109, 0.454, 0.116], [0.391, 0.954, 0.116], [0.891, 0.546, 0.616], [0.363, 0.694, 0.750], [0.391, 0.954, 0.384], [0.137, 0.194, 0.750], [0.863, 0.806, 0.250], [0.109, 0.454, 0.384]],
  "delta_e_f_kj_per_mol_atoms": -80.0
}


(6)
{
  "formula": "TmMgTlBr6",
  "functional": "PBE",
  "state": "relaxed",
  "lattice": [[-6.888, 0.673, 1.678], [3.317, -6.222, 1.001], [3.704, 4.152, 13.538]],
  "species": ["Mg", "Mg", "Br", "Br", "Br", "Br", "Br", "Br", "Br", "Br", "Br", "Br", "Br", "Br", "Tm", "Tm", "Tl", "Tl"],
  "frac_coords": [[0.333, 0.667, 0.250], [0.667, 0.333, 0.750], [0.624, 0.632, 0.143], [0.007, 0.376, 0.143], [0.993, 0.624, 0.857], [0.376, 0.368, 0.857], [0.624, 0.993, 0.357], [0.632, 0.007, 0.857], [0.993, 0.368, 0.643], [0.632, 0.624, 0.643], [0.368, 0.993, 0.143], [0.376, 0.007, 0.643], [0.368, 0.376, 0.357], [0.007, 0.632, 0.357], [0.333, 0.667, 0.750], [0.667, 0.333, 0.250], [0.000, 0.000, 0.000], [0.000, 0.000, 0.500]],
  "formation_energy_uncorrected_ev_per_atom": -1.521
}


(7)
{
  "formula": "Au2SeCl",
  "functional": "PBE",
  "state": "relaxed",
  "lattice": [[-1.107, -1.426, -3.354], [0.120, -4.041, 1.679], [-6.168, 0.215, 1.945]],
  "species": ["Au", "Au", "Se", "Cl"],
  "frac_coords": [[0.000, 0.051, 0.987], [0.500, 0.371, 0.190], [0.500, 0.736, 0.873], [0.000, 0.342, 0.450]],
  "e_above_lowest_polymorph_ev_per_atom": 0.000,
  "formation_energy_uncorrected_ev_per_atom": -0.023
}


(8)
{
  "formula": "NaY2Ru",
  "functional": "PBE",
  "state": "relaxed",
  "lattice": [[-6.007, 1.132, 5.254], [1.951, -6.883, 3.713], [0.081, -1.175, 6.528]],
  "species": ["Y", "Y", "Y", "Y", "Ru", "Ru", "Na", "Na"],
  "frac_coords": [[0.688, 0.125, 0.250], [0.875, 0.938, 0.750], [0.375, 0.312, 0.750], [0.062, 0.625, 0.250], [0.750, 0.250, 0.500], [0.000, 0.000, 0.000], [0.500, 0.500, 0.000], [0.250, 0.750, 0.500]],
  "delta_e_f_kj_per_mol_atoms": 26.5
}


(9)
{
  "formula": "CrFe2Te4",
  "functional": "PBE",
  "state": "relaxed",
  "lattice": [[3.861, 0.000, 0.000], [0.000, 6.888, -0.035], [0.000, 2.077, 6.234]],
  "species": ["Te", "Te", "Te", "Te", "Fe", "Fe", "Cr"],
  "frac_coords": [[0.000, 0.263, 0.256], [0.500, 0.279, 0.726], [0.500, 0.721, 0.274], [0.000, 0.737, 0.744], [0.000, 0.500, 0.500], [0.500, 0.500, 0.000], [0.500, 0.000, 0.500]],
  "e_above_lowest_polymorph_ev_per_atom": 0.118,
  "formation_energy_uncorrected_ev_per_atom": 0.065
}


(10)
{
  "formula": "CaB3N3",
  "functional": "PBE",
  "state": "relaxed",
  "lattice": [[4.742, 0.000, 0.000], [0.000, 4.742, 0.000], [0.000, 0.000, 4.742]],
  "species": ["N", "N", "N", "N", "N", "N", "Ca", "Ca", "B", "B", "B", "B", "B", "B"],
  "frac_coords": [[0.250, 0.500, 0.000], [0.500, 0.000, 0.750], [0.000, 0.250, 0.500], [0.000, 0.750, 0.500], [0.500, 0.000, 0.250], [0.750, 0.500, 0.000], [0.000, 0.000, 0.000], [0.500, 0.500, 0.500], [0.500, 0.250, 0.000], [0.000, 0.500, 0.250], [0.000, 0.500, 0.750], [0.500, 0.750, 0.000], [0.250, 0.000, 0.500], [0.750, 0.000, 0.500]],
  "formation_energy_uncorrected_ev_per_atom": 0.063
}


(11)
{
  "formula": "Ac8TcIr2",
  "functional": "PBE",
  "state": "relaxed",
  "lattice": [[-2.177, 3.532, -5.815], [-4.780, -6.457, 0.234], [-5.907, 1.211, 5.314]],
  "species": ["Ir", "Ir", "Ac", "Ac", "Ac", "Ac", "Ac", "Ac", "Ac", "Ac", "Tc"],
  "frac_coords": [[0.543, 0.313, 0.313], [0.457, 0.687, 0.687], [0.765, 0.582, 0.582], [0.253, 0.938, 0.357], [0.235, 0.418, 0.418], [0.256, 0.866, 0.866], [0.744, 0.134, 0.134], [0.747, 0.062, 0.643], [0.747, 0.643, 0.062], [0.253, 0.357, 0.938], [0.000, 0.000, 0.000]],
  "delta_e_f_kj_per_mol_atoms": -22.1
}


(12)
{
  "formula": "DyBiRh",
  "functional": "PBE",
  "state": "relaxed",
  "lattice": [[3.542, 0.000, 0.000], [0.000, 4.723, 0.000], [0.000, -2.361, 4.090]],
  "species": ["Bi", "Dy", "Rh"],
  "frac_coords": [[0.167, 0.000, 0.000], [0.667, 0.667, 0.333], [0.167, 0.333, 0.667]],
  "delta_e_f_kj_per_mol_atoms": -60.1
}